(1)
Here is a PBEsol-optimized structure of La3MoAu from Alexandria. Energies are from meta-GGA SCAN.

The structure in extended XYZ format:
```
5
Lattice="5.6519 0.0000 0.0000 0.0000 5.6519 0.0000 0.0000 0.0000 5.6519" Properties=species:S:1:pos:R:3 pbc="T T T"
La 0.0000 0.0000 2.8259
La 0.0000 2.8259 0.0000
La 2.8259 0.0000 0.0000
Mo 2.8259 2.8259 2.8259
Au 0.0000 0.0000 0.0000
```

Calculated values
ΔE_f, kJ per mole of atoms: 44.2

=====

(2)
Here is a PBEsol-optimized structure of Li4Ti4Mn4VO18 from Alexandria. Energies are from meta-GGA SCAN.

The structure in extended XYZ format:
```
62
Lattice="9.1056 0.0000 0.0000 0.0000 24.2120 0.0000 0.0000 0.0000 2.8614" Properties=species:S:1:pos:R:3 pbc="T T T"
Li 1.6017 4.6585 0.0000
Li 1.7232 24.0176 0.0000
Li 2.8296 11.9116 0.0000
Li 2.9511 16.7645 0.0000
Li 6.1545 7.4475 0.0000
Li 6.2760 12.3004 0.0000
Li 7.3824 0.1944 0.0000
Li 7.5039 19.5535 0.0000
Ti 0.1492 21.7710 0.0000
Ti 1.6924 19.5719 1.4307
Ti 2.8604 7.4659 1.4307
Ti 4.4036 9.6650 0.0000
Ti 4.7020 14.5470 0.0000
Ti 6.2452 16.7461 1.4307
Ti 7.4132 4.6401 1.4307
Ti 8.9564 2.4410 0.0000
Mn 0.2365 16.5614 0.0000
Mn 1.5228 14.1197 1.4307
Mn 3.0300 2.0137 1.4307
Mn 4.3163 4.4554 0.0000
Mn 4.7893 19.7566 0.0000
Mn 6.0756 22.1983 1.4307
Mn 7.5828 10.0923 1.4307
Mn 8.8691 7.6506 0.0000
V 0.0000 12.1060 0.0000
V 4.5528 0.0000 0.0000
O 0.2082 3.8667 1.4307
O 0.2429 14.0479 0.0000
O 0.6402 22.9023 1.4307
O 0.9214 7.1645 1.4307
O 1.3788 12.1924 1.4307
O 1.3921 18.3200 0.0000
O 1.4440 16.0034 1.4307
O 1.7158 1.9337 0.0000
O 1.8992 20.8707 0.0000
O 2.6536 8.7647 0.0000
O 2.8370 14.0397 0.0000
O 3.1088 3.8974 1.4307
O 3.1607 6.2140 0.0000
O 3.1740 0.0864 1.4307
O 3.6314 19.2705 1.4307
O 3.9126 10.7963 1.4307
O 4.3099 1.9419 0.0000
O 4.3446 15.9727 1.4307
O 4.7610 8.2393 1.4307
O 4.7957 22.2701 0.0000
O 5.1930 13.4157 1.4307
O 5.4742 4.9415 1.4307
O 5.9316 24.1256 1.4307
O 5.9449 17.9980 0.0000
O 5.9968 20.3146 1.4307
O 6.2686 10.1723 0.0000
O 6.4520 15.4473 0.0000
O 7.2064 3.3413 0.0000
O 7.3898 22.2783 0.0000
O 7.6616 8.2086 1.4307
O 7.7135 5.8920 0.0000
O 7.7268 12.0196 1.4307
O 8.1842 17.0475 1.4307
O 8.4654 1.3097 1.4307
O 8.8627 10.1641 0.0000
O 8.8974 20.3453 1.4307
```

Calculated values
Formation energy from raw total energies, kJ/mol of formula units: -7944.4

=====

(3)
Here is a PBEsol-optimized structure of Mg3Pb5 from Alexandria. Energies are from meta-GGA SCAN.

The structure in extended XYZ format:
```
16
Lattice="-5.9135 5.9135 3.0911 5.9135 -5.9135 3.0911 5.9135 5.9135 -3.0911" Properties=species:S:1:pos:R:3 pbc="T T T"
Mg 8.0036 2.0900 0.0000
Mg 0.0000 0.0000 1.5456
Mg 2.0900 3.8235 0.0000
Mg 3.8235 2.0900 3.0911
Mg 0.0000 0.0000 4.6367
Mg -2.0900 3.8235 3.0911
Pb 2.7014 0.7909 0.0000
Pb 5.1226 -3.2122 3.0911
Pb 5.9135 0.0000 1.5456
Pb 5.1226 3.2122 0.0000
Pb 2.7014 -0.7909 3.0911
Pb 3.2122 6.7045 0.0000
Pb 0.7909 2.7014 3.0911
Pb 0.0000 5.9135 1.5456
Pb 0.7909 9.1257 0.0000
Pb 3.2122 5.1226 3.0911
```

Calculated values
ΔE_f, kJ per mole of atoms: -4.9
E above lowest polymorph, meV per atom: 43

=====

(4)
Here is a PBEsol-optimized structure of Cr2CuRu from Alexandria. Energies are from meta-GGA SCAN.

The structure in extended XYZ format:
```
4
Lattice="4.1458 0.0000 0.0000 0.0000 4.1458 0.0000 0.0000 0.0000 2.8408" Properties=species:S:1:pos:R:3 pbc="T T T"
Cr 0.0000 2.0729 0.0000
Cr 2.0729 0.0000 0.0000
Cu 0.0000 0.0000 1.4204
Ru 2.0729 2.0729 1.4204
```

Calculated values
ΔE_f, kJ per mole of atoms: 24.6

=====

(5)
Here is a PBEsol-optimized structure of CrAsF3 from Alexandria. Energies are from meta-GGA SCAN.

The structure in extended XYZ format:
```
5
Lattice="4.2811 0.0000 0.0000 0.0000 4.2811 0.0000 0.0000 0.0000 4.2811" Properties=species:S:1:pos:R:3 pbc="T T T"
Cr 0.0000 0.0000 0.0000
As 2.1405 2.1405 2.1405
F 0.0000 2.1405 2.1405
F 2.1405 0.0000 2.1405
F 2.1405 2.1405 0.0000
```

Calculated values
Formation energy from raw total energies, kJ/mol of formula units: -473.6

=====

(6)
Here is a PBEsol-optimized structure of CoPb2Au from Alexandria. Energies are from meta-GGA SCAN.

The structure in extended XYZ format:
```
4
Lattice="3.4519 -3.4588 0.0000 3.4519 3.4588 0.0000 -0.0583 0.0000 3.4000" Properties=species:S:1:pos:R:3 pbc="T T T"
Co 0.0000 0.0000 0.0000
Pb 1.6968 1.7294 1.7000
Pb 1.6968 -1.7294 1.7000
Au 3.4519 0.0000 0.0000
```

Calculated values
ΔE_f, kJ per mole of atoms: 36.3
E above lowest polymorph, meV per atom: 1

=====

(7)
Here is a PBEsol-optimized structure of HfTa2CrNi from Alexandria. Energies are from meta-GGA SCAN.

The structure in extended XYZ format:
```
5
Lattice="4.5804 0.0000 0.0000 0.0000 4.5804 0.0000 0.0000 0.0000 4.3677" Properties=species:S:1:pos:R:3 pbc="T T T"
Hf 0.0000 0.0000 0.0000
Ta 0.0000 2.2902 2.1839
Ta 2.2902 0.0000 2.1839
Cr 2.2902 2.2902 0.0000
Ni 2.2902 2.2902 2.1839
```

Calculated values
ΔE_f, kJ per mole of atoms: 69.1

=====

(8)
Here is a PBEsol-optimized structure of Ba3La2Cl12 from Alexandria. Energies are from meta-GGA SCAN.

The structure in extended XYZ format:
```
34
Lattice="11.3894 0.0000 0.0000 0.0000 11.3894 0.0000 0.0000 0.0000 7.0637" Properties=species:S:1:pos:R:3 pbc="T T T"
Ba 0.0000 0.0000 0.0000
Ba 2.0534 3.6413 3.5319
Ba 3.6413 9.3361 3.5319
Ba 5.6947 5.6947 0.0000
Ba 7.7481 2.0534 3.5319
Ba 9.3361 7.7481 3.5319
La 1.5305 7.2252 0.0000
La 4.1642 1.5305 0.0000
La 7.2252 9.8590 0.0000
La 9.8590 4.1642 0.0000
Cl 0.0000 5.6947 1.8749
Cl 0.0000 5.6947 5.1888
Cl 0.7436 9.0485 1.9300
Cl 0.7436 9.0485 5.1338
Cl 2.0644 3.6303 0.0000
Cl 2.3410 0.7436 1.9300
Cl 2.3410 0.7436 5.1338
Cl 3.3537 6.4383 1.9300
Cl 3.3537 6.4383 5.1338
Cl 3.6303 9.3251 0.0000
Cl 4.9511 3.3537 1.9300
Cl 4.9511 3.3537 5.1338
Cl 5.6947 0.0000 1.8749
Cl 5.6947 0.0000 5.1888
Cl 6.4383 8.0357 1.9300
Cl 6.4383 8.0357 5.1338
Cl 7.7591 2.0644 0.0000
Cl 8.0357 4.9511 1.9300
Cl 8.0357 4.9511 5.1338
Cl 9.0485 10.6459 1.9300
Cl 9.0485 10.6459 5.1338
Cl 9.3251 7.7591 0.0000
Cl 10.6459 2.3410 1.9300
Cl 10.6459 2.3410 5.1338
```

Calculated values
Formation energy from raw total energies, kJ/mol of formula units: -4521.0
E above lowest polymorph, meV per atom: 0

=====

| no. | Fermi-level density of states (states/eV per atom) | ρ (g cm⁻³) | spin magnetization (μB/f.u.) |
| --- | --- | --- | --- |
| 1 | 1.712 | 6.53 | 4.18 |
| 2 | 0.138 | 4.10 | 15.50 |
| 3 | 0.400 | 8.52 | 0.00 |
| 4 | 0.869 | 9.13 | 5.17 |
| 5 | 0.627 | 3.89 | 5.35 |
| 6 | 0.423 | 13.71 | 1.85 |
| 7 | 1.227 | 11.80 | 2.92 |
| 8 | 0.000 | 4.04 | 0.00 |